Entry 1:
Compound: Zr2OsRh
Source: Alexandria via LeMat-Bulk
Functional: PBE-GGA
Structure: optimized geometry

Computed properties:
Uncorrected energy: -8.908 eV/atom

Cell and atoms, written as CIF:
```
data_Zr2OsRh
_chemical_formula_sum 'Zr2 Os1 Rh1'
_cell_length_a 3.0936
_cell_length_b 3.0936
_cell_length_c 7.9983
_cell_angle_alpha 90.00
_cell_angle_beta 90.00
_cell_angle_gamma 90.00
_symmetry_space_group_name_H-M 'P 4 m m'
_symmetry_Int_Tables_number 99
_symmetry_space_group_name_Hall 'P 4 -2'
loop_
_atom_site_label
_atom_site_type_symbol
_atom_site_fract_x
_atom_site_fract_y
_atom_site_fract_z
_atom_site_occupancy
Zr1 Zr 0.0000 0.0000 0.0000 1
Zr2 Zr 0.5000 0.5000 0.3529 1
Os1 Os 0.0000 0.0000 0.5574 1
Rh1 Rh 0.5000 0.5000 0.7885 1
```



Entry 2:
Compound: Zr2OsRh
Source: Alexandria via LeMat-Bulk
Functional: PBE-GGA
Structure: optimized geometry

Computed properties:
Uncorrected energy: -9.089 eV/atom

Cell and atoms, written as CIF:
```
data_Zr2OsRh
_chemical_formula_sum 'Zr8 Os4 Rh4'
_cell_length_a 6.5353
_cell_length_b 6.5353
_cell_length_c 6.5353
_cell_angle_alpha 90.00
_cell_angle_beta 90.00
_cell_angle_gamma 90.00
_symmetry_space_group_name_H-M 'F -4 3 m'
_symmetry_Int_Tables_number 216
_symmetry_space_group_name_Hall 'F -4 2 3'
loop_
_atom_site_label
_atom_site_type_symbol
_atom_site_fract_x
_atom_site_fract_y
_atom_site_fract_z
_atom_site_occupancy
Zr1 Zr 0.0000 0.0000 0.0000 1
Zr2 Zr 0.2500 0.2500 0.2500 1
Os1 Os 0.2500 0.2500 0.7500 1
Rh1 Rh 0.0000 0.0000 0.5000 1
```



Entry 3:
Compound: Zr2OsRh
Source: Alexandria via LeMat-Bulk
Functional: PBE-GGA
Structure: optimized geometry

Computed properties:
Uncorrected energy: -9.333 eV/atom

Cell and atoms, written as CIF:
```
data_Zr2OsRh
_chemical_formula_sum 'Zr4 Os2 Rh2'
_cell_length_a 3.4125
_cell_length_b 4.4011
_cell_length_c 9.6178
_cell_angle_alpha 90.00
_cell_angle_beta 90.00
_cell_angle_gamma 90.00
_symmetry_space_group_name_H-M 'I m m 2'
_symmetry_Int_Tables_number 44
_symmetry_space_group_name_Hall 'I 2 -2'
loop_
_atom_site_label
_atom_site_type_symbol
_atom_site_fract_x
_atom_site_fract_y
_atom_site_fract_z
_atom_site_occupancy
Zr1 Zr 0.0000 0.0000 0.0000 1
Zr2 Zr 0.0000 0.5000 0.2387 1
Os1 Os 0.0000 0.5000 0.7323 1
Rh1 Rh 0.0000 0.0000 0.4962 1
```



Entry 4:
Compound: Zr2OsRh
Source: Alexandria via LeMat-Bulk
Functional: PBE-GGA
Structure: optimized geometry

Computed properties:
Uncorrected energy: -9.130 eV/atom

Cell and atoms, written as CIF:
```
data_Zr2OsRh
_chemical_formula_sum 'Zr4 Os2 Rh2'
_cell_length_a 8.4397
_cell_length_b 3.2357
_cell_length_c 5.5951
_cell_angle_alpha 90.00
_cell_angle_beta 102.83
_cell_angle_gamma 90.00
_symmetry_space_group_name_H-M 'C 1 2/m 1'
_symmetry_Int_Tables_number 12
_symmetry_space_group_name_Hall '-C 2y'
loop_
_atom_site_label
_atom_site_type_symbol
_atom_site_fract_x
_atom_site_fract_y
_atom_site_fract_z
_atom_site_occupancy
Zr1 Zr 0.2497 0.0000 0.2456 1
Os1 Os 0.0000 0.5000 0.0000 1
Rh1 Rh 0.0000 0.0000 0.5000 1
```